No. 1
# Tm6PuS8 (PBE, optimized geometry)
data_Tm6PuS8
_cell_length_a 7.692
_cell_length_b 7.692
_cell_length_c 7.692
_cell_angle_alpha 60.00
_cell_angle_beta 60.00
_cell_angle_gamma 60.00
_symmetry_space_group_name_H-M 'P 1'
_symmetry_Int_Tables_number 1
_symmetry_space_group_name_Hall 'P 1'
loop_
_atom_site_label
_atom_site_type_symbol
_atom_site_fract_x
_atom_site_fract_y
_atom_site_fract_z
S1 S 0.256 0.744 0.256
Tm1 Tm 0.000 0.500 0.500
S2 S 0.256 0.744 0.744
S3 S 0.250 0.250 0.250
S4 S 0.744 0.744 0.256
Tm2 Tm 0.500 0.500 0.000
S5 S 0.744 0.256 0.744
Pu1 Pu 0.000 0.000 0.000
S6 S 0.744 0.256 0.256
Tm3 Tm 0.000 0.000 0.500
Tm4 Tm 0.500 0.000 0.500
S7 S 0.750 0.750 0.750
S8 S 0.256 0.256 0.744
Tm5 Tm 0.500 0.000 0.000
Tm6 Tm 0.000 0.500 0.000
# - E_form (uncorrected) (eV per atom) = -1.958
# - SG = Fm-3m, No. 225
# - E_tot (eV/atom) = -6.9037

---

No. 2
# TmPuS4 (PBE, optimized geometry)
data_TmPuS4
_cell_length_a 4.069
_cell_length_b 6.204
_cell_length_c 6.204
_cell_angle_alpha 90.76
_cell_angle_beta 90.00
_cell_angle_gamma 90.00
_symmetry_space_group_name_H-M 'P 1'
_symmetry_Int_Tables_number 1
_symmetry_space_group_name_Hall 'P 1'
loop_
_atom_site_label
_atom_site_type_symbol
_atom_site_fract_x
_atom_site_fract_y
_atom_site_fract_z
S1 S 0.500 0.691 0.309
S2 S 0.000 0.201 0.201
Pu1 Pu 0.000 0.500 0.500
S3 S 0.000 0.799 0.799
Tm1 Tm 0.500 0.000 0.000
S4 S 0.500 0.309 0.691
# - E_form (uncorrected) (eV per atom) = -1.375
# - SG = Cmmm, No. 65
# - E_tot (eV/atom) = -7.2610

---

No. 3
# Tm2PuS3 (PBE, optimized geometry)
data_Tm2PuS3
_cell_length_a 3.866
_cell_length_b 5.476
_cell_length_c 6.735
_cell_angle_alpha 113.99
_cell_angle_beta 106.68
_cell_angle_gamma 90.00
_symmetry_space_group_name_H-M 'P 1'
_symmetry_Int_Tables_number 1
_symmetry_space_group_name_Hall 'P 1'
loop_
_atom_site_label
_atom_site_type_symbol
_atom_site_fract_x
_atom_site_fract_y
_atom_site_fract_z
Pu1 Pu 0.500 0.500 0.500
S1 S 0.829 0.329 0.157
S2 S 0.500 0.000 0.500
Tm1 Tm 0.166 0.166 0.832
Tm2 Tm 0.834 0.834 0.168
S3 S 0.171 0.671 0.843
# - E_form (uncorrected) (eV per atom) = -1.908
# - SG = Immm, No. 71
# - E_tot (eV/atom) = -7.8511

---

No. 4
# Tm2PuS4 (PBE, optimized geometry)
data_Tm2PuS4
_cell_length_a 8.043
_cell_length_b 8.039
_cell_length_c 8.039
_cell_angle_alpha 59.47
_cell_angle_beta 59.98
_cell_angle_gamma 59.98
_symmetry_space_group_name_H-M 'P 1'
_symmetry_Int_Tables_number 1
_symmetry_space_group_name_Hall 'P 1'
loop_
_atom_site_label
_atom_site_type_symbol
_atom_site_fract_x
_atom_site_fract_y
_atom_site_fract_z
S1 S 0.262 0.244 0.232
S2 S 0.738 0.268 0.256
Tm1 Tm 0.874 0.876 0.376
S3 S 0.270 0.748 0.248
S4 S 0.738 0.756 0.768
S5 S 0.734 0.748 0.248
Pu1 Pu 0.000 0.500 0.000
Pu2 Pu 0.500 0.500 0.000
Tm2 Tm 0.500 0.500 0.500
S6 S 0.262 0.732 0.744
Tm3 Tm 0.500 0.000 0.000
Tm4 Tm 0.126 0.124 0.624
S7 S 0.266 0.252 0.752
S8 S 0.730 0.252 0.752
# - E_form (uncorrected) (eV per atom) = -1.818
# - SG = Imma, No. 74
# - E_tot (eV/atom) = -7.5017
# - polymorph energy (0 for the lowest one) (eV per formula unit) = 0.943

---

No. 5
# TmPuS (PBE, optimized geometry)
data_TmPuS
_cell_length_a 3.463
_cell_length_b 5.402
_cell_length_c 9.375
_cell_angle_alpha 113.66
_cell_angle_beta 79.36
_cell_angle_gamma 71.31
_symmetry_space_group_name_H-M 'P 1'
_symmetry_Int_Tables_number 1
_symmetry_space_group_name_Hall 'P 1'
loop_
_atom_site_label
_atom_site_type_symbol
_atom_site_fract_x
_atom_site_fract_y
_atom_site_fract_z
Pu1 Pu 0.545 0.318 0.591
S1 S 0.738 0.653 0.872
Tm1 Tm 0.982 0.892 0.144
S2 S 0.262 0.347 0.128
Tm2 Tm 0.018 0.108 0.856
Pu2 Pu 0.455 0.682 0.409
# - E_form (uncorrected) (eV per atom) = -0.891
# - SG = C2/m, No. 12
# - E_tot (eV/atom) = -8.5342

---

No. 6
# TmPu2S4 (PBE, optimized geometry)
data_TmPu2S4
_cell_length_a 3.812
_cell_length_b 6.790
_cell_length_c 13.142
_cell_angle_alpha 90.00
_cell_angle_beta 90.00
_cell_angle_gamma 106.30
_symmetry_space_group_name_H-M 'P 1'
_symmetry_Int_Tables_number 1
_symmetry_space_group_name_Hall 'P 1'
loop_
_atom_site_label
_atom_site_type_symbol
_atom_site_fract_x
_atom_site_fract_y
_atom_site_fract_z
S1 S 0.500 0.000 0.000
S2 S 0.024 0.047 0.250
Pu1 Pu 0.132 0.265 0.070
S3 S 0.779 0.557 0.125
Pu2 Pu 0.132 0.265 0.430
S4 S 0.221 0.443 0.875
S5 S 0.500 0.000 0.500
S6 S 0.221 0.443 0.625
S7 S 0.976 0.953 0.750
Pu3 Pu 0.868 0.735 0.930
Tm1 Tm 0.623 0.246 0.750
Pu4 Pu 0.868 0.735 0.570
Tm2 Tm 0.377 0.754 0.250
S8 S 0.779 0.557 0.375
# - E_form (uncorrected) (eV per atom) = -1.779
# - SG = Cmcm, No. 63
# - E_tot (eV/atom) = -8.8710

---

No. 7
# TmPuS2 (PBE, optimized geometry)
data_TmPuS2
_cell_length_a 5.518
_cell_length_b 3.892
_cell_length_c 7.819
_cell_angle_alpha 90.00
_cell_angle_beta 90.00
_cell_angle_gamma 90.00
_symmetry_space_group_name_H-M 'P 1'
_symmetry_Int_Tables_number 1
_symmetry_space_group_name_Hall 'P 1'
loop_
_atom_site_label
_atom_site_type_symbol
_atom_site_fract_x
_atom_site_fract_y
_atom_site_fract_z
S1 S 0.701 0.733 0.225
S2 S 0.201 0.233 0.991
Tm1 Tm 0.701 0.233 0.982
S3 S 0.701 0.733 0.737
Pu1 Pu 0.201 0.733 0.734
Pu2 Pu 0.701 0.233 0.482
Tm2 Tm 0.201 0.733 0.234
S4 S 0.201 0.233 0.479
# - E_form (uncorrected) (eV per atom) = -1.878
# - SG = Pmmn, No. 59
# - E_tot (eV/atom) = -8.6431
# - polymorph energy (0 for the lowest one) (eV per formula unit) = 0.022

---

No. 8
# TmPuS2 (PBE, optimized geometry)
data_TmPuS2
_cell_length_a 3.843
_cell_length_b 3.843
_cell_length_c 13.266
_cell_angle_alpha 90.00
_cell_angle_beta 90.00
_cell_angle_gamma 120.00
_symmetry_space_group_name_H-M 'P 1'
_symmetry_Int_Tables_number 1
_symmetry_space_group_name_Hall 'P 1'
loop_
_atom_site_label
_atom_site_type_symbol
_atom_site_fract_x
_atom_site_fract_y
_atom_site_fract_z
Pu1 Pu 0.667 0.333 0.250
S1 S 0.333 0.667 0.383
S2 S 0.667 0.333 0.617
S3 S 0.667 0.333 0.883
Tm1 Tm 0.000 0.000 0.000
Tm2 Tm 0.000 0.000 0.500
S4 S 0.333 0.667 0.117
Pu2 Pu 0.333 0.667 0.750
# - E_form (uncorrected) (eV per atom) = -1.839
# - SG = P6_3/mmc, No. 194
# - E_tot (eV/atom) = -8.6037
# - polymorph energy (0 for the lowest one) (eV per formula unit) = 0.180

---

No. 9
# Tm2PuS4 (PBE, optimized geometry)
data_Tm2PuS4
_cell_length_a 3.843
_cell_length_b 6.650
_cell_length_c 13.004
_cell_angle_alpha 90.00
_cell_angle_beta 90.00
_cell_angle_gamma 106.79
_symmetry_space_group_name_H-M 'P 1'
_symmetry_Int_Tables_number 1
_symmetry_space_group_name_Hall 'P 1'
loop_
_atom_site_label
_atom_site_type_symbol
_atom_site_fract_x
_atom_site_fract_y
_atom_site_fract_z
Tm1 Tm 0.867 0.734 0.932
Tm2 Tm 0.867 0.734 0.568
Tm3 Tm 0.133 0.266 0.068
S1 S 0.959 0.917 0.750
S2 S 0.772 0.544 0.120
Tm4 Tm 0.133 0.266 0.432
S3 S 0.772 0.544 0.380
S4 S 0.228 0.456 0.620
Pu1 Pu 0.382 0.763 0.250
S5 S 0.500 0.000 0.000
S6 S 0.228 0.456 0.880
S7 S 0.041 0.083 0.250
Pu2 Pu 0.618 0.237 0.750
S8 S 0.500 0.000 0.500
# - E_form (uncorrected) (eV per atom) = -1.953
# - SG = Cmcm, No. 63
# - E_tot (eV/atom) = -7.6364
# - polymorph energy (0 for the lowest one) (eV per formula unit) = 0.000

---

No. 10
# TmPuS2 (PBE, optimized geometry)
data_TmPuS2
_cell_length_a 3.804
_cell_length_b 3.804
_cell_length_c 7.197
_cell_angle_alpha 74.67
_cell_angle_beta 74.67
_cell_angle_gamma 60.00
_symmetry_space_group_name_H-M 'P 1'
_symmetry_Int_Tables_number 1
_symmetry_space_group_name_Hall 'P 1'
loop_
_atom_site_label
_atom_site_type_symbol
_atom_site_fract_x
_atom_site_fract_y
_atom_site_fract_z
S1 S 0.256 0.256 0.232
Tm1 Tm 0.670 0.670 0.990
Pu1 Pu 0.496 0.496 0.513
S2 S 0.078 0.078 0.765
# - E_form (uncorrected) (eV per atom) = -1.786
# - SG = R3m, No. 160
# - E_tot (eV/atom) = -8.5503
# - polymorph energy (0 for the lowest one) (eV per formula unit) = 0.393

---

No. 11
# Tm2PuS (PBE, optimized geometry)
data_Tm2PuS
_cell_length_a 3.558
_cell_length_b 3.558
_cell_length_c 10.147
_cell_angle_alpha 79.90
_cell_angle_beta 79.90
_cell_angle_gamma 60.00
_symmetry_space_group_name_H-M 'P 1'
_symmetry_Int_Tables_number 1
_symmetry_space_group_name_Hall 'P 1'
loop_
_atom_site_label
_atom_site_type_symbol
_atom_site_fract_x
_atom_site_fract_y
_atom_site_fract_z
Pu1 Pu 0.000 0.000 0.000
Tm1 Tm 0.889 0.889 0.332
Tm2 Tm 0.111 0.111 0.668
S1 S 0.500 0.500 0.500
# - E_form (uncorrected) (eV per atom) = -0.610
# - SG = R-3m, No. 166
# - E_tot (eV/atom) = -7.4610

---

No. 12
# TmPu4S5 (PBE, optimized geometry)
data_TmPu4S5
_cell_length_a 3.941
_cell_length_b 3.941
_cell_length_c 14.174
_cell_angle_alpha 97.99
_cell_angle_beta 97.99
_cell_angle_gamma 90.00
_symmetry_space_group_name_H-M 'P 1'
_symmetry_Int_Tables_number 1
_symmetry_space_group_name_Hall 'P 1'
loop_
_atom_site_label
_atom_site_type_symbol
_atom_site_fract_x
_atom_site_fract_y
_atom_site_fract_z
Tm1 Tm 0.000 0.000 0.000
S1 S 0.902 0.902 0.803
S2 S 0.098 0.098 0.197
Pu1 Pu 0.199 0.199 0.399
Pu2 Pu 0.401 0.401 0.802
S3 S 0.500 0.500 0.000
S4 S 0.300 0.300 0.601
Pu3 Pu 0.599 0.599 0.198
Pu4 Pu 0.801 0.801 0.601
S5 S 0.700 0.700 0.399
# - E_form (uncorrected) (eV per atom) = -1.800
# - SG = I4/mmm, No. 139
# - E_tot (eV/atom) = -10.0439